Here is an optimized crystal structure of Rb2BiPWO8 from the Alexandria database. Energies are from PBEsol.

```
data_Rb2BiPWO8
_chemical_formula_sum 'Rb16 Bi8 P8 W8 O64'
_symmetry_space_group_name_H-M 'I b c a'
_symmetry_Int_Tables_number 73
_symmetry_space_group_name_Hall '-I 2b 2c'
_cell_length_a 7.0964
_cell_length_b 12.4624
_cell_length_c 20.4366
_cell_angle_alpha 90.00
_cell_angle_beta 90.00
_cell_angle_gamma 90.00
loop_
_atom_site_label
_atom_site_type_symbol
_atom_site_fract_x
_atom_site_fract_y
_atom_site_fract_z
Rb1 Rb 0.0341 0.0821 0.1571
Bi1 Bi 0.2500 0.1702 0.5000
P1 P 0.2500 0.0725 0.0000
W1 W 0.0000 0.2500 0.3371
O1 O 0.0594 0.1375 0.7875
O2 O 0.0811 0.1513 0.0097
O3 O 0.2046 0.2180 0.3861
O4 O 0.2250 0.0015 0.5601
```

Values from the calculation:
Final energy: -7.32 eV/atom